Entry 1:
DFT (PBE-GGA) results for TbIn7Cu5 after structural relaxation.

Cell: 7.258 7.258 7.258 Å, 134.69 98.17 98.89°
Fractional coordinates of all 13 atoms:
Tb  0.000  0.000  0.000
In  0.654  0.654  0.000
In  0.336  0.336  0.000
In  0.325  0.987  0.338
In  0.650  0.987  0.662
In  0.769  0.269  0.500
In  0.824  0.514  0.310
In  0.204  0.514  0.690
Cu  0.495  0.493  0.487
Cu  0.495  0.008  0.002
Cu  0.006  0.493  0.998
Cu  0.006  0.008  0.513
Cu  0.237  0.737  0.500

## Properties
As for the formation energy: -0.08 eV/atom.

=====

Entry 2:
DFT (PBE-GGA) results for Tb2In3Cu after structural relaxation.

Cell: 3.632 4.771 8.324 Å, 90.00 90.00 90.00°
Fractional coordinates of all 6 atoms:
Tb  0.000  0.500  0.014
Tb  0.000  0.000  0.492
In  0.500  0.000  0.837
In  0.500  0.000  0.183
In  0.500  0.500  0.646
Cu  0.500  0.500  0.327

## Properties
The calculation puts the energy above the most stable polymorph in this dataset at 0.112 eV/f.u. As for the formation energy: -0.40 eV/atom.

=====

Entry 3:
DFT (PBE-GGA) results for TbInCu4 after structural relaxation.

Cell: 5.138 5.139 5.139 Å, 59.99 60.00 60.00°
Fractional coordinates of all 6 atoms:
Tb  0.000  0.000  0.000
Cu  0.126  0.625  0.625
Cu  0.625  0.126  0.625
Cu  0.625  0.625  0.625
Cu  0.625  0.625  0.126
In  0.250  0.250  0.250

## Properties
As for the formation energy: -0.28 eV/atom.

=====

Entry 4:
DFT (PBE-GGA) results for Tb4In5Cu2 after structural relaxation.

Cell: 3.681 7.699 9.537 Å, 94.46 90.00 90.00°
Fractional coordinates of all 11 atoms:
Tb  0.500  0.776  0.565
Tb  0.500  0.187  0.855
Tb  0.500  0.224  0.435
Tb  0.500  0.813  0.145
In  0.000  0.548  0.327
In  0.000  0.162  0.147
In  0.000  0.500  0.000
In  0.000  0.838  0.853
In  0.000  0.452  0.673
Cu  0.000  0.069  0.628
Cu  0.000  0.931  0.372

## Properties
As for the formation energy: -0.39 eV/atom.

=====

Calculated values (eV/atom) of electronic total energy for the records, taken in order: -3.488; -3.990; -4.237; -4.061.